[1]
Below is KHI2O at its PBEsol-relaxed geometry, with properties calculated at the SCAN level.

Properties
- Space-group type: P4/mmm (123)

Unit cell a=6.653 b=6.653 c=5.239 alpha=90.00 beta=90.00 gamma=90.00
Element x y z (fractional)
K  0.000  0.000  0.000
H  0.500  0.500  0.500
I  0.000  0.500  0.000
I  0.500  0.000  0.000
O  0.000  0.000  0.500

=====

[2]
Below is Li2ScCoCu at its PBEsol-relaxed geometry, with properties calculated at the SCAN level.

Properties
- Formation enthalpy at 0 K: 1393.0 meV/atom
- Space-group type: P4/mmm (123)

Unit cell a=4.665 b=4.665 c=4.431 alpha=90.00 beta=90.00 gamma=90.00
Element x y z (fractional)
Li  0.000  0.500  0.000
Li  0.500  0.000  0.000
Sc  0.000  0.000  0.000
Co  0.500  0.500  0.500
Cu  0.000  0.000  0.500

=====

[3]
Below is Mg5Zr at its PBEsol-relaxed geometry, with properties calculated at the SCAN level.

Properties
- Formation enthalpy at 0 K: 15.1 meV/atom
- Space-group type: P4/mmm (123)

Unit cell a=3.174 b=3.174 c=13.121 alpha=90.00 beta=90.00 gamma=90.00
Element x y z (fractional)
Mg  0.000  0.000  0.000
Mg  0.000  0.000  0.334
Mg  0.000  0.000  0.666
Mg  0.500  0.500  0.166
Mg  0.500  0.500  0.834
Zr  0.500  0.500  0.500

=====

[4]
Below is Sm3Co4Sn13 at its PBEsol-relaxed geometry, with properties calculated at the SCAN level.

Properties
- Formation enthalpy at 0 K: -320.1 meV/atom
- Space-group type: Pm-3n (223)

Unit cell a=9.443 b=9.443 c=9.443 alpha=90.00 beta=90.00 gamma=90.00
Element x y z (fractional)
Sm  0.000  0.250  0.500
Sm  0.000  0.750  0.500
Sm  0.250  0.500  0.000
Sm  0.500  0.000  0.250
Sm  0.500  0.000  0.750
Sm  0.750  0.500  0.000
Co  0.250  0.250  0.250
Co  0.250  0.250  0.750
Co  0.250  0.750  0.250
Co  0.250  0.750  0.750
Co  0.750  0.250  0.250
Co  0.750  0.250  0.750
Co  0.750  0.750  0.250
Co  0.750  0.750  0.750
Sn  0.000  0.000  0.000
Sn  0.000  0.303  0.158
Sn  0.000  0.303  0.842
Sn  0.000  0.697  0.158
Sn  0.000  0.697  0.842
Sn  0.158  0.000  0.303
Sn  0.158  0.000  0.697
Sn  0.197  0.500  0.342
Sn  0.197  0.500  0.658
Sn  0.303  0.158  0.000
Sn  0.303  0.842  0.000
Sn  0.342  0.197  0.500
Sn  0.342  0.803  0.500
Sn  0.500  0.342  0.197
Sn  0.500  0.342  0.803
Sn  0.500  0.500  0.500
Sn  0.500  0.658  0.197
Sn  0.500  0.658  0.803
Sn  0.658  0.197  0.500
Sn  0.658  0.803  0.500
Sn  0.697  0.158  0.000
Sn  0.697  0.842  0.000
Sn  0.803  0.500  0.342
Sn  0.803  0.500  0.658
Sn  0.842  0.000  0.303
Sn  0.842  0.000  0.697

=====

[5]
Below is IrRu at its PBEsol-relaxed geometry, with properties calculated at the SCAN level.

Properties
- Formation enthalpy at 0 K: -58.2 meV/atom
- Space-group type: Cm (8)

Unit cell a=5.082 b=5.082 c=6.375 alpha=103.34 beta=103.34 gamma=30.87
Element x y z (fractional)
Ir  0.000  0.000  0.000
Ir  0.057  0.057  0.613
Ir  0.671  0.671  0.336
Ru  0.335  0.335  0.669
Ru  0.389  0.389  0.278
Ru  0.725  0.725  0.947

=====

[6]
Below is Cs4Sn2Te7 at its PBEsol-relaxed geometry, with properties calculated at the SCAN level.

Properties
- Space-group type: C2/c (15)
- Energy relative to the elements, uncorrected: -0.76 eV/atom

Unit cell a=9.032 b=9.032 c=19.307 alpha=107.08 beta=107.08 gamma=50.68
Element x y z (fractional)
Cs  0.054  0.436  0.857
Cs  0.137  0.704  0.559
Cs  0.296  0.863  0.941
Cs  0.436  0.054  0.357
Cs  0.564  0.946  0.643
Cs  0.704  0.137  0.059
Cs  0.863  0.296  0.441
Cs  0.946  0.564  0.143
Sn  0.224  0.672  0.338
Sn  0.328  0.776  0.162
Sn  0.672  0.224  0.838
Sn  0.776  0.328  0.662
Te  0.027  0.389  0.650
Te  0.034  0.966  0.250
Te  0.206  0.620  0.039
Te  0.332  0.497  0.751
Te  0.380  0.794  0.461
Te  0.389  0.027  0.150
Te  0.497  0.332  0.251
Te  0.503  0.668  0.749
Te  0.611  0.973  0.850
Te  0.620  0.206  0.539
Te  0.668  0.503  0.249
Te  0.794  0.380  0.961
Te  0.966  0.034  0.750
Te  0.973  0.611  0.350

=====

[7]
Below is TlSiAu at its PBEsol-relaxed geometry, with properties calculated at the SCAN level.

Properties
- Space-group type: Imm2 (44)
- Energy relative to the elements, uncorrected: 0.21 eV/atom

Unit cell a=6.760 b=6.760 c=6.760 alpha=155.19 beta=146.25 gamma=42.34
Element x y z (fractional)
Tl  0.000  0.000  0.000
Si  0.218  0.218  0.000
Au  0.770  0.770  0.000

=====

[8]
Below is Ca2La2MgTi3O12 at its PBEsol-relaxed geometry, with properties calculated at the SCAN level.

Properties
- Space-group type: P2_1/c (14)
- Energy relative to the elements, uncorrected: -3.51 eV/atom

Unit cell a=15.483 b=5.430 c=5.502 alpha=90.00 beta=90.13 gamma=90.00
Element x y z (fractional)
Ca  0.121  0.008  0.458
Ca  0.121  0.492  0.958
Ca  0.879  0.508  0.042
Ca  0.879  0.992  0.542
La  0.381  0.511  0.035
La  0.381  0.989  0.535
La  0.619  0.011  0.465
La  0.619  0.489  0.965
Mg  0.500  0.000  0.000
Mg  0.500  0.500  0.500
Ti  0.000  0.000  0.000
Ti  0.000  0.500  0.500
Ti  0.244  0.003  0.001
Ti  0.244  0.497  0.501
Ti  0.756  0.503  0.499
Ti  0.756  0.997  0.999
O  0.021  0.212  0.712
O  0.021  0.288  0.212
O  0.122  0.582  0.521
O  0.122  0.918  0.021
O  0.223  0.214  0.713
O  0.223  0.286  0.213
O  0.265  0.716  0.784
O  0.265  0.784  0.284
O  0.365  0.071  0.988
O  0.365  0.429  0.488
O  0.482  0.702  0.798
O  0.482  0.798  0.298
O  0.518  0.202  0.702
O  0.518  0.298  0.202
O  0.635  0.571  0.512
O  0.635  0.929  0.012
O  0.735  0.216  0.716
O  0.735  0.284  0.216
O  0.777  0.714  0.787
O  0.777  0.786  0.287
O  0.878  0.082  0.979
O  0.878  0.418  0.479
O  0.979  0.712  0.788
O  0.979  0.788  0.288

=====

[9]
Below is Sc2BiBr at its PBEsol-relaxed geometry, with properties calculated at the SCAN level.

Properties
- Space-group type: R-3m (166)
- Energy relative to the elements, uncorrected: -0.75 eV/atom

Unit cell a=7.981 b=7.981 c=7.981 alpha=33.12 beta=33.12 gamma=33.12
Element x y z (fractional)
Sc  0.115  0.115  0.115
Sc  0.885  0.885  0.885
Bi  0.500  0.500  0.500
Br  0.000  0.000  0.000

=====

[10]
Below is Ta2B at its PBEsol-relaxed geometry, with properties calculated at the SCAN level.

Properties
- Formation enthalpy at 0 K: -534.7 meV/atom
- Space-group type: I4/mcm (140)

Unit cell a=4.737 b=4.737 c=4.737 alpha=105.17 beta=105.17 gamma=118.46
Element x y z (fractional)
Ta  0.167  0.667  0.834
Ta  0.333  0.167  0.500
Ta  0.667  0.833  0.500
Ta  0.833  0.333  0.166
B  0.250  0.250  0.000
B  0.750  0.750  0.000

=====

[11]
Below is LaFe3Rh at its PBEsol-relaxed geometry, with properties calculated at the SCAN level.

Properties
- Formation enthalpy at 0 K: 415.9 meV/atom
- Space-group type: Pm-3m (221)

Unit cell a=4.605 b=4.605 c=4.605 alpha=90.00 beta=90.00 gamma=90.00
Element x y z (fractional)
La  0.000  0.000  0.000
Fe  0.000  0.500  0.500
Fe  0.500  0.000  0.500
Fe  0.500  0.500  0.000
Rh  0.500  0.500  0.500

=====

[12]
Below is La3Y at its PBEsol-relaxed geometry, with properties calculated at the SCAN level.

Properties
- Formation enthalpy at 0 K: 11.1 meV/atom
- Space-group type: Cmmm (65)

Unit cell a=6.214 b=6.214 c=3.626 alpha=90.00 beta=90.00 gamma=109.51
Element x y z (fractional)
La  0.000  0.000  0.000
La  0.000  0.500  0.500
La  0.500  0.000  0.500
Y  0.500  0.500  0.000

=====

E, respectively: -17.719, -8.911, -9.246, -33.796, -53.021, -37.982, -50.302, -15.180, -32.375, -47.400, -25.837, -39.278 eV/atom.
Mass density, respectively: 2.22, 3.12, 2.67, 8.79, 17.81, 4.79, 9.92, 5.16, 4.66, 15.41, 6.96, 6.36 Mg/m³.
Calculated volume, respectively: 46.37, 19.28, 22.03, 21.05, 13.67, 44.32, 23.96, 11.56, 33.77, 13.39, 19.53, 32.99 Å³/atom.